(P)
Material: Pm3TlSi
Method: DFT, PBE
State: relaxed

## Properties
As for the space group: Pmmn (59). For the density of states at the Fermi level, the calculation gives 0.543 states/eV per atom. For the density, the calculation gives 7.24 Mg/m³. Its crystal system is orthorhombic.

Structure (extended XYZ):
```
10
Lattice="-3.922 -0.743 2.471 0.959 -7.102 -0.613 4.835 -0.009 7.671" Properties=species:S:1:pos:R:3 pbc="T T T"
Pm -1.878 -5.884 1.940
Pm 3.750 -1.970 7.589
Pm 1.238 -7.635 6.360
Pm 0.767 -4.145 6.661
Pm 0.633 -0.219 3.169
Pm 1.105 -3.709 2.868
Tl -1.932 -2.334 2.922
Tl 3.803 -5.520 6.607
Si -0.318 -5.887 4.415
Si 2.190 -1.967 5.114
```

=====

(Q)
Material: Pm3TlSi
Method: DFT, PBE
State: relaxed

## Properties
As for the space group: Pm-3m (221). For the density of states at the Fermi level, the calculation gives 1.485 states/eV per atom. For the density, the calculation gives 6.57 Mg/m³. Its crystal system is cubic.

Structure (extended XYZ):
```
5
Lattice="5.527 0.000 0.000 0.000 5.527 0.000 0.000 0.000 5.527" Properties=species:S:1:pos:R:3 pbc="T T T"
Tl 2.763 2.763 2.763
Si 0.000 0.000 0.000
Pm 0.000 2.763 0.000
Pm 0.000 0.000 2.763
Pm 2.763 0.000 0.000
```

=====

Stability order, top to bottom: (P), (Q)